# 1
Compound: RbTcSe3
Source: the Alexandria database
Functional: PBE
Structure: optimized geometry

The structure in extended XYZ format:
```
5
Lattice="-3.950 3.932 -0.885 -1.053 0.190 5.541 3.890 4.043 0.601" Properties=species:S:1:pos:R:3 pbc="T T T"
Se 1.945 2.022 0.300
Rb 0.000 0.000 0.000
Se -1.975 1.966 -0.443
Tc -0.556 4.082 2.628
Se -0.526 0.095 2.770
```

Results
Uncorrected formation energy   829.1 kJ/mol of formula units
Distance to the lowest polymorph of the same formula   1922.7 meV/atom
Total magnetic moment   3.81 Bohr magnetons per cell

***

# 2
Compound: AsBr2ClF
Source: the Alexandria database
Functional: PBE
Structure: optimized geometry

The structure in extended XYZ format:
```
5
Lattice="5.719 0.000 0.000 0.000 5.719 0.000 0.000 0.000 3.887" Properties=species:S:1:pos:R:3 pbc="T T T"
F 0.000 0.000 0.000
As 0.000 0.000 1.944
Br 2.859 0.000 0.000
Cl 2.859 2.859 1.944
Br 0.000 2.859 0.000
```

Results
Uncorrected formation energy   84.9 kJ/mol of formula units
Distance to the lowest polymorph of the same formula   0.0 meV/atom
Total magnetic moment   1.36 Bohr magnetons per cell

***

# 3
Compound: LaSnH2Pb
Source: the Alexandria database
Functional: PBE
Structure: optimized geometry

The structure in extended XYZ format:
```
5
Lattice="-0.703 -4.111 -1.538 6.560 -0.730 -1.046 0.476 -1.620 4.113" Properties=species:S:1:pos:R:3 pbc="T T T"
Sn 3.280 -0.365 -0.523
H 0.238 -0.810 2.056
Pb 3.167 -3.231 0.764
La 0.000 0.000 0.000
H -0.351 -2.056 -0.769
```

Results
Uncorrected energy   -19.59 eV per formula unit
Total magnetic moment   0.00 Bohr magnetons per cell